Record 1
Material: SiAsSe2
Method: DFT, PBE
State: relaxed

CIF file:
```
data_SiAsSe2
_cell_length_a 4.774
_cell_length_b 4.774
_cell_length_c 4.774
_cell_angle_alpha 60.00
_cell_angle_beta 60.00
_cell_angle_gamma 60.00
_symmetry_space_group_name_H-M 'P 1'
_symmetry_Int_Tables_number 1
_symmetry_space_group_name_Hall 'P 1'
loop_
_atom_site_label
_atom_site_fract_x
_atom_site_fract_y
_atom_site_fract_z
Se1 0.250 0.250 0.250
Se2 0.750 0.750 0.750
Si1 0.000 0.000 0.000
As1 0.500 0.500 0.500
```

Values from the calculation:
size of the total moment	0.0000	μB per atom
energy above the lowest structure with this stoichiometry	10.21	kcal/mol of atoms
E_form (uncorrected)	0.44	eV per atom
space-group type	Fm-3m

***

Record 2
Material: SiAsSe2
Method: DFT, PBE
State: relaxed

CIF file:
```
data_SiAsSe2
_cell_length_a 3.993
_cell_length_b 3.993
_cell_length_c 7.457
_cell_angle_alpha 90.00
_cell_angle_beta 90.00
_cell_angle_gamma 125.93
_symmetry_space_group_name_H-M 'P 1'
_symmetry_Int_Tables_number 1
_symmetry_space_group_name_Hall 'P 1'
loop_
_atom_site_label
_atom_site_fract_x
_atom_site_fract_y
_atom_site_fract_z
Se1 0.000 0.000 0.009
Si1 0.500 0.500 0.250
Se2 0.000 0.000 0.491
As1 0.500 0.500 0.750
```

Values from the calculation:
size of the total moment	0.0000	μB per atom
energy above the lowest structure with this stoichiometry	7.89	kcal/mol of atoms
E_form (uncorrected)	0.34	eV per atom
space-group type	Cmmm

***

Record 3
Material: SiAs2Se
Method: DFT, PBE
State: relaxed

CIF file:
```
data_SiAs2Se
_cell_length_a 3.189
_cell_length_b 3.189
_cell_length_c 7.904
_cell_angle_alpha 90.00
_cell_angle_beta 90.00
_cell_angle_gamma 90.00
_symmetry_space_group_name_H-M 'P 1'
_symmetry_Int_Tables_number 1
_symmetry_space_group_name_Hall 'P 1'
loop_
_atom_site_label
_atom_site_fract_x
_atom_site_fract_y
_atom_site_fract_z
As1 0.000 0.000 0.925
As2 0.000 0.000 0.575
Se1 0.500 0.500 0.250
Si1 0.500 0.500 0.750
```

Values from the calculation:
size of the total moment	0.0000	μB per atom
energy above the lowest structure with this stoichiometry	10.70	kcal/mol of atoms
E_form (uncorrected)	0.41	eV per atom
space-group type	P4/mmm

***

Record 4
Material: SiAsSe2
Method: DFT, PBE
State: relaxed

CIF file:
```
data_SiAsSe2
_cell_length_a 3.656
_cell_length_b 7.275
_cell_length_c 3.709
_cell_angle_alpha 90.00
_cell_angle_beta 90.00
_cell_angle_gamma 90.00
_symmetry_space_group_name_H-M 'P 1'
_symmetry_Int_Tables_number 1
_symmetry_space_group_name_Hall 'P 1'
loop_
_atom_site_label
_atom_site_fract_x
_atom_site_fract_y
_atom_site_fract_z
As1 0.000 0.500 0.500
Se1 0.000 0.000 0.000
Se2 0.500 0.500 0.000
Si1 0.500 0.000 0.500
```

Values from the calculation:
size of the total moment	0.0000	μB per atom
energy above the lowest structure with this stoichiometry	8.34	kcal/mol of atoms
E_form (uncorrected)	0.35	eV per atom
space-group type	Pmmm

***

Record 5
Material: SiAsSe2
Method: DFT, PBE
State: relaxed

CIF file:
```
data_SiAsSe2
_cell_length_a 8.466
_cell_length_b 8.466
_cell_length_c 8.466
_cell_angle_alpha 24.28
_cell_angle_beta 24.28
_cell_angle_gamma 24.28
_symmetry_space_group_name_H-M 'P 1'
_symmetry_Int_Tables_number 1
_symmetry_space_group_name_Hall 'P 1'
loop_
_atom_site_label
_atom_site_fract_x
_atom_site_fract_y
_atom_site_fract_z
As1 0.000 0.000 0.000
Se1 0.893 0.893 0.893
Se2 0.107 0.107 0.107
Si1 0.500 0.500 0.500
```

Values from the calculation:
size of the total moment	0.0000	μB per atom
energy above the lowest structure with this stoichiometry	2.33	kcal/mol of atoms
E_form (uncorrected)	0.09	eV per atom
space-group type	R-3m

***

Record 6
Material: SiAsSe2
Method: DFT, PBE
State: relaxed

CIF file:
```
data_SiAsSe2
_cell_length_a 3.366
_cell_length_b 3.366
_cell_length_c 6.757
_cell_angle_alpha 90.00
_cell_angle_beta 90.00
_cell_angle_gamma 90.00
_symmetry_space_group_name_H-M 'P 1'
_symmetry_Int_Tables_number 1
_symmetry_space_group_name_Hall 'P 1'
loop_
_atom_site_label
_atom_site_fract_x
_atom_site_fract_y
_atom_site_fract_z
Se1 0.000 0.000 0.009
As1 0.500 0.500 0.750
Se2 0.000 0.000 0.491
Si1 0.500 0.500 0.250
```

Values from the calculation:
size of the total moment	0.0000	μB per atom
energy above the lowest structure with this stoichiometry	9.81	kcal/mol of atoms
E_form (uncorrected)	0.42	eV per atom
space-group type	P4/mmm

***

Number 1: volume 19.23 A^3/atom. Number 2: volume 24.07 A^3/atom. Number 3: volume 20.10 A^3/atom. Number 4: volume 24.66 A^3/atom. Number 5: volume 22.53 A^3/atom. Number 6: volume 19.14 A^3/atom.